This record from the Alexandria database describes an optimized crystal structure of Hf2InSbIr. The functional is PBEsol.

Summary:
The raw formation energy comes out at 0.03 eV per atom. The calculation puts the density of states at the Fermi level at 0.5812 states/eV per atom.

Cell and atoms, written as POSCAR:
```
Hf2InSbIr
1.0
-4.4117 -2.3137 -0.3801
1.6026 -3.5667 3.1099
-1.7104 2.6224 3.8890
Hf Ir Sb In
2 1 1 1
Direct
0.0000 0.5000 0.0000
0.5000 0.0000 0.0000
0.0000 0.0000 0.0000
0.5000 0.5000 0.5000
0.0000 0.0000 0.5000
```

=====

This record from the Alexandria database describes an optimized crystal structure of Sc5Tl. The functional is PBEsol.

Summary:
The calculation puts the formation energy at -0.10 eV per atom. The calculation puts the excess energy over the best structure of this formula in the dataset at 5.5 kJ/mol of atoms. The calculation puts the density of states at the Fermi level at 1.4224 states/eV per atom.

Cell and atoms, written as POSCAR:
```
Sc5Tl
1.0
-0.7800 -1.1224 2.9933
2.8240 -1.6859 0.1038
5.8300 10.0925 5.3035
Sc Tl
5 1
Direct
0.0000 0.0000 0.3418
0.0000 0.0000 0.6582
0.0000 0.0000 0.0000
0.5000 0.5000 0.1722
0.5000 0.5000 0.8278
0.5000 0.5000 0.5000
```

=====

This record from the Alexandria database describes an optimized crystal structure of Na2ZnIn2. The functional is PBEsol.

Summary:
The calculation puts the formation energy at -0.01 eV per atom. The calculation puts the excess energy over the best structure of this formula in the dataset at 0.0 kJ/mol of atoms. The calculation puts the density of states at the Fermi level at 0.6341 states/eV per atom.

Cell and atoms, written as POSCAR:
```
Na2ZnIn2
1.0
-1.7882 -2.5086 -4.1557
1.7262 -6.1324 2.9590
-6.3613 -0.3639 2.9569
Na In Zn
4 4 2
Direct
0.5000 0.8308 0.3308
0.5000 0.3308 0.1692
0.5000 0.6692 0.8308
0.5000 0.1692 0.6692
0.0000 0.3547 0.8547
0.0000 0.6453 0.1453
0.0000 0.8547 0.6453
0.0000 0.1453 0.3547
0.0000 0.0000 0.0000
0.0000 0.5000 0.5000
```

=====

This record from the Alexandria database describes an optimized crystal structure of LaMoPb2. The functional is PBEsol.

Summary:
The calculation puts the formation energy at 0.25 eV per atom. The calculation puts the excess energy over the best structure of this formula in the dataset at 11.5 kJ/mol of atoms. The calculation puts the density of states at the Fermi level at 0.9347 states/eV per atom.

Cell and atoms, written as POSCAR:
```
LaMoPb2
1.0
-2.8495 -0.4140 -1.4749
-0.6208 -4.1354 2.3601
-1.6342 3.2506 5.2658
Mo Pb La
1 2 1
Direct
0.0000 0.5000 0.5000
0.1574 0.0000 0.2752
0.8426 0.0000 0.7248
0.5000 0.5000 0.0000
```

=====

This record from the Alexandria database describes an optimized crystal structure of ScHg2Se. The functional is PBEsol.

Summary:
The raw formation energy comes out at -0.35 eV per atom. The calculation puts the density of states at the Fermi level at 0.6541 states/eV per atom.

Cell and atoms, written as POSCAR:
```
ScHg2Se
1.0
3.9169 0.0000 0.0000
0.0000 3.9169 0.0000
0.0000 0.0000 5.5974
Hg Sc Se
2 1 1
Direct
0.0000 0.0000 0.2486
0.0000 0.0000 0.7514
0.5000 0.5000 0.0000
0.5000 0.5000 0.5000
```

=====

This record from the Alexandria database describes an optimized crystal structure of MgZnAsSe2. The functional is PBEsol.

Summary:
The raw formation energy comes out at 0.24 eV per atom. The calculation puts the density of states at the Fermi level at 0.7414 states/eV per atom.

Cell and atoms, written as POSCAR:
```
MgZnAsSe2
1.0
4.5649 0.0000 0.0000
0.0000 5.0142 0.0000
0.0000 0.0000 5.0142
Se As Mg Zn
2 1 1 1
Direct
0.0000 0.0000 0.5000
0.0000 0.5000 0.0000
0.5000 0.0000 0.0000
0.5000 0.5000 0.5000
0.0000 0.0000 0.0000
```

=====

This record from the Alexandria database describes an optimized crystal structure of NaTcH2. The functional is PBEsol.

Summary:
The calculation puts the total energy at -4.517 eV/atom. The calculation puts the density of states at the Fermi level at 0.4233 states/eV per atom.

Cell and atoms, written as POSCAR:
```
NaTcH2
1.0
-1.9030 -3.5355 -2.5973
4.7455 0.5705 -0.1480
-0.1263 -0.4146 4.7623
H Na Tc
4 2 2
Direct
0.4434 0.3750 0.3184
0.9434 0.0684 0.6250
0.0566 0.6816 0.1250
0.5566 0.8750 0.9316
0.5000 0.2500 0.7500
0.0000 0.5000 0.5000
0.0000 0.0000 0.0000
0.5000 0.7500 0.2500
```

=====

This record from the Alexandria database describes an optimized crystal structure of TaTeRhN2. The functional is PBEsol.

Summary:
The raw formation energy comes out at 1.39 eV per atom. The calculation puts the density of states at the Fermi level at 1.0927 states/eV per atom.

Cell and atoms, written as POSCAR:
```
TaTeRhN2
1.0
-1.0934 -1.9627 -3.1641
1.2020 -3.3073 1.6361
-4.7860 -0.7049 2.0912
N Te Ta Rh
2 1 1 1
Direct
0.0000 0.5000 0.0000
0.5000 0.0000 0.0000
0.0000 0.0000 0.5000
0.5000 0.5000 0.5000
0.0000 0.0000 0.0000
```